# 1
A plane-wave DFT calculation with PBE was carried out for a relaxed structure of TaBe2As.

a = 4.7667 Å, b = 4.7667 Å, c = 4.5497 Å
α = 96.40°, β = 96.40°, γ = 32.71°
Last column: nearest neighbours and their distance in Å.
Atoms (fractional coordinates):
Ta1 0.0000 0.0000 0.0000  7 Be 2.59-2.86, 3 As 2.65-2.76, 2 Ta 2.68
Be1 0.2648 0.2648 0.7228  4 Be 2.49-2.68, 4 As 2.56-2.73, 2 Ta 2.72
Be2 0.5448 0.5448 0.5332  1 As 2.42, 4 Be 2.49-2.68, 2 Ta 2.59
As1 0.7495 0.7495 0.2414  3 Be 2.42-2.56, 1 Ta 2.65, 2 As 2.68

The calculation puts the formation energy at 241 meV/atom. Its space group is Cm (8). The total magnetic moment is 0.000 μB/atom.

=====

# 2
A plane-wave DFT calculation with PBE was carried out for a relaxed structure of Ta3BeAs.

a = 4.7090 Å, b = 4.7090 Å, c = 4.7090 Å
α = 90.00°, β = 90.00°, γ = 90.00°
Last column: nearest neighbours and their distance in Å.
Atoms (fractional coordinates):
Ta1 0.0000 0.0000 0.5000  2 As 2.35
Ta2 0.0000 0.5000 0.0000  2 As 2.35
Ta3 0.5000 0.0000 0.0000  2 As 2.35
Be1 0.5000 0.5000 0.5000  12 Ta 3.33
As1 0.0000 0.0000 0.0000  6 Ta 2.35

The calculation puts the formation energy at 1275 meV/atom. Its space group is Pm-3m (221). The total magnetic moment is 0.000 μB/atom.

=====

# 3
A plane-wave DFT calculation with PBE was carried out for a relaxed structure of TaBe2As.

a = 5.3366 Å, b = 5.3366 Å, c = 5.3366 Å
α = 102.80°, β = 102.80°, γ = 123.84°
Last column: nearest neighbours and their distance in Å.
Atoms (fractional coordinates):
Ta1 0.0000 0.0000 0.0000  2 As 2.51, 4 Be 2.61
Ta2 0.7500 0.2500 0.5000  2 As 2.51, 4 Be 2.61
Be1 0.1615 0.6250 0.0365  2 As 2.28
Be2 0.3750 0.4115 0.5365  2 As 2.28
Be3 0.5885 0.1250 0.9635  2 As 2.28
Be4 0.8750 0.8385 0.4635  2 As 2.28
As1 0.2500 0.7500 0.5000  4 Be 2.28, 2 Ta 2.51
As2 0.5000 0.5000 0.0000  4 Be 2.28, 2 Ta 2.51

The calculation puts the formation energy at 330 meV/atom. Its space group is I-42d (122). The total magnetic moment is 0.000 μB/atom.

=====

# 4
A plane-wave DFT calculation with PBE was carried out for a relaxed structure of TaBe2As.

a = 2.7527 Å, b = 2.7527 Å, c = 7.6115 Å
α = 90.00°, β = 90.00°, γ = 90.00°
Last column: nearest neighbours and their distance in Å.
Atoms (fractional coordinates):
Ta1 0.0000 0.0000 0.0000  8 Be 2.65, 4 Ta 2.75
Be1 0.5000 0.5000 0.2363  4 Ta 2.65, 4 Be 2.75, 4 As 2.80
Be2 0.5000 0.5000 0.7637  4 Ta 2.65, 4 Be 2.75, 4 As 2.80
As1 0.0000 0.0000 0.5000  4 As 2.75, 8 Be 2.80

The calculation puts the formation energy at 349 meV/atom. Its space group is P4/mmm (123). The total magnetic moment is 0.000 μB/atom.

=====

# 5
A plane-wave DFT calculation with PBE was carried out for a relaxed structure of Ta2BeAs.

a = 6.3842 Å, b = 6.3842 Å, c = 6.3842 Å
α = 31.54°, β = 31.54°, γ = 31.54°
Last column: nearest neighbours and their distance in Å.
Atoms (fractional coordinates):
Ta1 0.2379 0.2379 0.2379  3 Be 2.39, 3 As 2.65
Ta2 0.7621 0.7621 0.7621  3 Be 2.39, 3 As 2.65
Be1 0.5000 0.5000 0.5000  6 Ta 2.39
As1 0.0000 0.0000 0.0000  6 Ta 2.65

The calculation puts the formation energy at -57 meV/atom. The calculation puts the excess energy over the best structure of this formula in the dataset at 1.15 eV/f.u. Its space group is R-3m (166). The total magnetic moment is 0.000 μB/atom.

=====

# 6
A plane-wave DFT calculation with PBE was carried out for a relaxed structure of TaBe4As.

a = 4.5742 Å, b = 4.5742 Å, c = 4.5742 Å
α = 60.00°, β = 60.00°, γ = 60.00°
Last column: nearest neighbours and their distance in Å.
Atoms (fractional coordinates):
Ta1 0.0000 0.0000 0.0000  12 Be 2.67, 4 As 2.80
Be1 0.3710 0.3710 0.3710  6 Be 2.21-2.36
Be2 0.3710 0.3710 0.8869  6 Be 2.21-2.36
Be3 0.3710 0.8869 0.3710  6 Be 2.21-2.36
Be4 0.8869 0.3710 0.3710  6 Be 2.21-2.36
As1 0.7500 0.7500 0.7500  12 Be 2.69, 4 Ta 2.80

The calculation puts the formation energy at 184 meV/atom. Its space group is F-43m (216). The total magnetic moment is 0.000 μB/atom.

=====

# 7
A plane-wave DFT calculation with PBE was carried out for a relaxed structure of TaBe2As.

a = 3.1988 Å, b = 3.1988 Å, c = 5.1994 Å
α = 90.00°, β = 90.00°, γ = 90.00°
Last column: nearest neighbours and their distance in Å.
Atoms (fractional coordinates):
Ta1 0.0000 0.0000 0.0000  6 Be 2.55-2.73, 4 As 2.65
Be1 0.0000 0.0000 0.5104  4 Be 2.48, 2 Ta 2.55-2.65, 4 As 2.59
Be2 0.5000 0.5000 0.7048  1 As 2.28, 4 Be 2.48
As1 0.5000 0.5000 0.2661  1 Be 2.28

The calculation puts the formation energy at 46 meV/atom. Its space group is P4mm (99). The total magnetic moment is 0.000 μB/atom.

=====

# 8
A plane-wave DFT calculation with PBE was carried out for a relaxed structure of Ta2BeAs.

a = 6.9749 Å, b = 6.9749 Å, c = 6.9749 Å
α = 135.25°, β = 135.25°, γ = 65.14°
Last column: nearest neighbours and their distance in Å.
Atoms (fractional coordinates):
Ta1 0.0675 0.6250 0.9425  2 Be 2.23
Ta2 0.3750 0.3175 0.4425  2 Be 2.23
Ta3 0.6825 0.1250 0.0575  2 Be 2.23
Ta4 0.8750 0.9325 0.5575  2 Be 2.23
Be1 0.0000 0.0000 0.0000  4 Ta 2.23
Be2 0.7500 0.2500 0.5000  4 Ta 2.23
As1 0.2500 0.7500 0.5000  4 Ta 2.57
As2 0.5000 0.5000 0.0000  4 Ta 2.57

The calculation puts the formation energy at 991 meV/atom. The calculation puts the excess energy over the best structure of this formula in the dataset at 5.34 eV/f.u. Its space group is I-42d (122). The total magnetic moment is 0.000 μB/atom.